No. 1
The following is a PBE calculation of a relaxed BaSr2Ca2 crystal, from Alexandria via LeMat-Bulk.

a b c (Å): 6.1217 6.1217 8.1919
angles (deg): 90.00 90.00 110.89
Positions (direct):
Ca 0.1695 0.8305 0.5000
Ca 0.8305 0.1695 0.5000
Ba 0.0000 0.0000 0.0000
Sr 0.5000 0.5000 0.2596
Sr 0.5000 0.5000 0.7404

## Properties
- relative energy among the computed polymorphs (kJ per mole of atoms) = 12.80
- energy of formation (meV per atom) = 216

=====

No. 2
The following is a PBE calculation of a relaxed La3HgCCl crystal, from Alexandria via LeMat-Bulk.

a b c (Å): 3.9209 9.3868 9.3831
angles (deg): 96.22 90.00 90.00
Site moments in Bohr magnetons follow the coordinates.
Positions (direct):
La 0.7500 0.4448 0.1434  0.09
La 0.7500 0.8266 0.1140  0.03
La 0.7500 0.3370 0.5847  0.24
La 0.2500 0.1734 0.8860  0.03
La 0.2500 0.6630 0.4153  0.24
La 0.2500 0.5552 0.8566  0.09
C 0.2500 0.6534 0.1473  -0.01
C 0.7500 0.3466 0.8527  -0.01
Hg 0.7500 0.8091 0.7536  0.00
Hg 0.2500 0.1909 0.2464  0.00
Cl 0.7500 0.8854 0.4130  0.01
Cl 0.2500 0.1146 0.5870  0.01

## Properties
- ΔE_f (raw) (eV per atom) = -0.616

=====

No. 3
The following is a PBE calculation of a relaxed LiReOs3 crystal, from Alexandria via LeMat-Bulk.

a b c (Å): 4.7336 4.7336 4.7336
angles (deg): 90.00 90.00 90.00
Site moments in Bohr magnetons follow the coordinates.
Positions (direct):
Os 0.5000 0.0000 0.0000  0.19
Os 0.0000 0.5000 0.0000  0.26
Os 0.0000 0.0000 0.5000  0.14
Li 0.5000 0.5000 0.5000  0.00
Re 0.0000 0.0000 0.0000  -0.05

## Properties
- relative energy among the computed polymorphs (kJ per mole of atoms) = 81.72
- energy of formation (meV per atom) = 1992

=====

No. 4
The following is a PBE calculation of a relaxed Zn2Ga2Co3 crystal, from Alexandria via LeMat-Bulk.

a b c (Å): 4.0547 4.0521 6.8849
angles (deg): 90.03 107.20 119.98
Positions (direct):
Zn 0.7381 0.8690 0.6069
Zn 0.2619 0.1310 0.3931
Co 0.5164 0.2583 0.7745
Co 0.0000 0.0000 0.0000
Co 0.4836 0.7417 0.2255
Ga 0.2296 0.6149 0.8444
Ga 0.7704 0.3851 0.1556

## Properties
- energy of formation (meV per atom) = -115

=====

No. 5
The following is a PBE calculation of a relaxed CeY8Ir6 crystal, from Alexandria via LeMat-Bulk.

a b c (Å): 7.7268 7.7268 7.7268
angles (deg): 64.74 64.74 64.74
Positions (direct):
Y 0.2282 0.5367 0.8963
Y 0.6619 0.6619 0.6619
Y 0.5367 0.8963 0.2282
Y 0.7718 0.4633 0.1037
Y 0.1037 0.7718 0.4633
Y 0.3381 0.3381 0.3381
Y 0.4633 0.1037 0.7718
Y 0.8963 0.2282 0.5367
Ir 0.0571 0.3778 0.7308
Ir 0.9429 0.6222 0.2692
Ir 0.7308 0.0571 0.3778
Ir 0.3778 0.7308 0.0571
Ir 0.6222 0.2692 0.9429
Ir 0.2692 0.9429 0.6222
Ce 0.0000 0.0000 0.0000

## Properties
- energy of formation (meV per atom) = -758

=====

No. 6
The following is a PBE calculation of a relaxed La4Si2Rh crystal, from Alexandria via LeMat-Bulk.

a b c (Å): 5.2070 5.2070 8.9568
angles (deg): 73.10 73.10 90.00
Positions (direct):
Si 0.6317 0.6317 0.7365
Si 0.3683 0.3683 0.2635
La 0.1873 0.1873 0.6255
La 0.8127 0.8127 0.3745
La 0.0000 0.5000 0.0000
La 0.5000 0.0000 0.0000
Rh 0.0000 0.0000 0.0000

## Properties
- relative energy among the computed polymorphs (kJ per mole of atoms) = 12.53
- ΔE_f (raw) (eV per atom) = -0.373

=====

What total moment values result from the calculations? In sequence: 0.00, 0.91, 0.57, 0.00, 0.00, 0.00 μB per formula unit.